[1]
4
Lattice="-2.425 -1.476 0.831 0.232 -2.325 1.815 -1.741 4.948 8.974" Properties=species:S:1:pos:R:3 comment="KMo2Br, optimized geometry, DFT GGA-PBEsol" formation_energy_uncorrected_mev_per_atom=1154 magnetic_moment_mub_per_cell=0.00 e_tot_ev_per_atom=-5.48 dos_ef_per_ev_cell=2.573 volume_a3_per_cell=78 pbc="T T T"
Br -1.967 0.574 5.810
K 0.000 0.000 0.000
Mo -1.033 0.593 3.304
Mo -2.901 0.554 8.316

=====

[2]
4
Lattice="4.614 0.000 0.000 0.000 4.621 0.000 0.000 0.000 6.208" Properties=species:S:1:pos:R:3 comment="BaHg2Br, optimized geometry, DFT GGA-PBEsol" formation_energy_uncorrected_mev_per_atom=-728 magnetic_moment_mub_per_cell=0.00 e_tot_ev_per_atom=-2.02 dos_ef_per_ev_cell=1.671 volume_a3_per_cell=132 pbc="T T T"
Hg 0.000 0.000 4.591
Hg 0.000 0.000 1.617
Br 2.307 2.310 3.104
Ba 2.307 2.310 0.000

=====

[3]
28
Lattice="-1.090 -8.204 -1.669 3.279 -2.185 8.602 -9.364 5.630 -0.203" Properties=species:S:1:pos:R:3 comment="BaNa2Si4, optimized geometry, DFT GGA-PBEsol" formation_energy_uncorrected_mev_per_atom=-175 magnetic_moment_mub_per_cell=0.00 e_tot_ev_per_atom=-4.17 volume_a3_per_cell=711 pbc="T T T"
Ba -0.001 -0.006 -0.001
Ba -2.685 -5.884 2.131
Ba -4.858 -1.639 4.037
Ba 1.639 -1.098 4.300
Na 1.097 -5.173 3.471
Na -0.542 -4.080 -0.830
Na -3.337 -5.009 5.544
Na -1.979 -0.949 6.058
Na -6.781 2.282 0.563
Na -0.019 -4.217 6.741
Na -3.834 0.286 1.194
Na -5.191 -3.773 0.680
Si -1.469 -0.913 2.930
Si -1.713 -3.127 3.814
Si -4.166 1.133 5.831
Si -5.019 1.702 3.595
Si -4.121 -2.591 7.372
Si -0.217 -2.777 1.979
Si -8.920 -0.856 0.581
Si -7.609 -2.634 -0.370
Si -6.471 1.684 5.497
Si 1.262 -7.536 5.410
Si 0.590 -0.948 7.340
Si -6.552 -0.971 0.996
Si -3.466 -5.264 -1.271
Si -2.566 -2.559 1.577
Si -1.035 -6.884 5.105
Si -5.835 -4.814 3.603

=====

[4]
5
Lattice="-0.728 -1.194 -5.004 2.881 -4.281 0.603 -4.358 -2.751 1.290" Properties=species:S:1:pos:R:3 comment="KHfTi2Cd, optimized geometry, DFT GGA-PBEsol" magnetic_moment_mub_per_cell=4.03 e_tot_ev_per_atom=-4.49 dos_ef_per_ev_cell=10.361 volume_a3_per_cell=143 formation_energy_ev_per_atom=1.40 pbc="T T T"
K -1.102 -4.113 -1.555
Ti 1.441 -2.141 0.301
Ti -0.364 -0.597 -2.502
Hf -2.179 -1.376 0.645
Cd 0.000 0.000 0.000

=====

[5]
4
Lattice="-0.109 3.202 0.015 -3.492 -0.106 -2.805 -5.323 -0.344 6.639" Properties=species:S:1:pos:R:3 comment="KCoTe2, optimized geometry, DFT GGA-PBEsol" formation_energy_uncorrected_mev_per_atom=-11 magnetic_moment_mub_per_cell=1.76 e_tot_ev_per_atom=-3.99 dos_ef_per_ev_cell=3.409 volume_a3_per_cell=122 pbc="T T T"
Co -1.670 2.274 1.993
K -5.899 0.494 3.747
Te -0.164 2.444 0.112
Te -4.016 2.169 1.339

=====

[6]
5
Lattice="-2.590 -1.324 -2.598 -1.276 -2.610 2.602 -2.622 2.578 1.300" Properties=species:S:1:pos:R:3 comment="SbIrN3, optimized geometry, DFT GGA-PBEsol" formation_energy_uncorrected_mev_per_atom=1112 magnetic_moment_mub_per_cell=0.00 e_tot_ev_per_atom=-6.88 dos_ef_per_ev_cell=4.416 volume_a3_per_cell=59 pbc="T T T"
Sb -3.244 -0.678 0.652
Ir 0.000 0.000 0.000
N -0.638 -1.305 1.301
N -1.311 1.289 0.650
N -1.295 -0.662 -1.299

=====

Which formula does entry 5 have? KCoTe2

=====

What did the third record say?
28
Lattice="-1.090 -8.204 -1.669 3.279 -2.185 8.602 -9.364 5.630 -0.203" Properties=species:S:1:pos:R:3 comment="BaNa2Si4, optimized geometry, DFT GGA-PBEsol" formation_energy_uncorrected_mev_per_atom=-175 magnetic_moment_mub_per_cell=0.00 e_tot_ev_per_atom=-4.17 volume_a3_per_cell=711 pbc="T T T"
Ba -0.001 -0.006 -0.001
Ba -2.685 -5.884 2.131
Ba -4.858 -1.639 4.037
Ba 1.639 -1.098 4.300
Na 1.097 -5.173 3.471
Na -0.542 -4.080 -0.830
Na -3.337 -5.009 5.544
Na -1.979 -0.949 6.058
Na -6.781 2.282 0.563
Na -0.019 -4.217 6.741
Na -3.834 0.286 1.194
Na -5.191 -3.773 0.680
Si -1.469 -0.913 2.930
Si -1.713 -3.127 3.814
Si -4.166 1.133 5.831
Si -5.019 1.702 3.595
Si -4.121 -2.591 7.372
Si -0.217 -2.777 1.979
Si -8.920 -0.856 0.581
Si -7.609 -2.634 -0.370
Si -6.471 1.684 5.497
Si 1.262 -7.536 5.410
Si 0.590 -0.948 7.340
Si -6.552 -0.971 0.996
Si -3.466 -5.264 -1.271
Si -2.566 -2.559 1.577
Si -1.035 -6.884 5.105
Si -5.835 -4.814 3.603